Entry from Alexandria via LeMat-Bulk: crystalline ReTeSe2 at its relaxed geometry (PBE).

Summary:
V (Å³/cell): 166.16
Energy relative to the elements, uncorrected (eV/atom): 0.75
SG: I4/mmm

Lattice parameters (Å, degrees): 5.507 5.507 5.480 90.00 90.00 90.00
Positions (direct):
1 Re 0.000 0.000 0.000
2 Re 0.500 0.500 0.500
3 Te 0.000 0.000 0.500
4 Te 0.500 0.500 0.000
5 Se 0.000 0.500 0.000
6 Se 0.000 0.500 0.500
7 Se 0.500 0.000 0.000
8 Se 0.500 0.000 0.500